A plane-wave DFT calculation with GGA-PBE was carried out for a relaxed KGe2Pt4 crystal.

Cell and atoms, written as extended XYZ:
```
14
Lattice="-2.772 2.841 0.456 -1.954 -0.670 -7.705 -5.402 -5.569 1.854" Properties=species:S:1:pos:R:3 pbc="T T T"
Pt -5.370 -4.305 -5.829
Ge -2.734 -1.778 -5.542
Pt -6.244 -5.546 -3.409
Pt -3.407 0.122 -3.969
Pt -4.859 -1.941 0.056
Pt -1.112 -0.693 -2.442
K -3.678 -3.119 -2.925
Ge -3.399 -0.287 -1.373
Pt -5.269 -1.457 -5.451
K -1.386 1.420 0.228
Ge -4.622 -4.460 -0.309
Pt -6.721 -3.520 -1.426
Pt -1.985 -1.934 -0.022
Ge -6.728 -3.111 -4.021
```

Computed properties:
Raw total energy (Ry/atom): -0.393
N(E_F) (states/eV per atom): 0.302
Formation enthalpy at 0 K (meV/atom): -414

A plane-wave DFT calculation with GGA-PBE was carried out for a relaxed KGe2Pt crystal.

Cell and atoms, written as extended XYZ:
```
8
Lattice="7.931 0.000 0.000 0.000 7.931 0.000 3.966 3.966 3.174" Properties=species:S:1:pos:R:3 pbc="T T T"
K 3.966 7.931 1.587
Ge 6.640 1.983 0.794
Pt 0.000 0.000 0.000
Ge 9.914 10.605 2.381
Pt 7.931 3.966 1.587
K 3.966 3.966 0.000
Ge 5.948 5.257 2.381
Ge 1.292 5.948 0.794
```

Computed properties:
Raw total energy (Ry/atom): -0.306
N(E_F) (states/eV per atom): 0.622
Formation enthalpy at 0 K (meV/atom): -69

A plane-wave DFT calculation with GGA-PBE was carried out for a relaxed K2Ge4Pt5 crystal.

Cell and atoms, written as extended XYZ:
```
11
Lattice="-2.261 5.663 -3.405 -6.555 2.527 1.394 1.018 6.148 2.387" Properties=species:S:1:pos:R:3 pbc="T T T"
K 0.422 5.228 1.253
Pt -3.278 1.264 0.697
Pt -4.465 8.585 -0.663
Pt -3.334 5.753 1.039
Pt -4.408 4.095 -1.006
Ge -2.304 3.592 0.342
Pt -1.130 2.831 -1.702
Ge -2.398 8.025 0.614
K -1.665 6.582 -2.271
Ge -5.494 10.746 0.034
Ge -5.401 6.313 -0.238
```

Computed properties:
Raw total energy (Ry/atom): -0.373
N(E_F) (states/eV per atom): 0.308
Energy above the lowest structure with this stoichiometry (meV per atom): 0
Formation enthalpy at 0 K (meV/atom): -449

A plane-wave DFT calculation with GGA-PBE was carried out for a relaxed K2Ge4Pt3 crystal.

Cell and atoms, written as extended XYZ:
```
9
Lattice="-4.096 -3.755 -2.213 5.865 -1.034 -0.550 -0.932 -0.810 6.906" Properties=species:S:1:pos:R:3 pbc="T T T"
Pt 0.000 0.000 0.000
K 0.872 -3.244 0.083
Ge 4.084 -2.490 0.833
Ge -2.344 -4.246 -0.240
Ge -3.247 -3.109 3.310
Pt -2.048 -1.877 -1.106
Ge 3.181 -1.353 4.383
K -0.035 -2.355 4.060
Pt 2.933 -0.517 -0.275
```

Computed properties:
Raw total energy (Ry/atom): -0.337
N(E_F) (states/eV per atom): 0.384
Formation enthalpy at 0 K (meV/atom): -279

A plane-wave DFT calculation with GGA-PBE was carried out for a relaxed KGe3Pt crystal.

Cell and atoms, written as extended XYZ:
```
5
Lattice="5.220 0.000 0.000 0.000 5.220 0.000 0.000 0.000 5.220" Properties=species:S:1:pos:R:3 pbc="T T T"
K 0.000 0.000 0.000
Ge 0.000 0.000 2.610
Ge 2.610 0.000 0.000
Pt 2.610 2.610 2.610
Ge 0.000 2.610 0.000
```

Computed properties:
Raw total energy (Ry/atom): -0.168
N(E_F) (states/eV per atom): 0.561
Energy above the lowest structure with this stoichiometry (meV per atom): 2222
Formation enthalpy at 0 K (meV/atom): 1915

A plane-wave DFT calculation with GGA-PBE was carried out for a relaxed K3Ge5Pt6 crystal.

Cell and atoms, written as extended XYZ:
```
28
Lattice="4.231 0.000 0.000 0.000 12.461 0.000 0.000 0.000 13.144" Properties=species:S:1:pos:R:3 pbc="T T T"
K 2.116 9.117 2.217
Pt 0.000 0.066 6.572
Ge 2.116 1.266 10.966
Ge 2.116 1.266 2.178
Pt 2.116 12.395 0.000
Pt 0.000 12.368 2.164
Pt 0.000 6.865 9.270
Pt 0.000 12.368 10.980
Pt 0.000 6.580 6.572
Ge 0.000 11.195 8.750
Pt 2.116 5.596 2.698
K 0.000 3.344 4.355
Pt 2.116 0.093 4.408
Pt 2.116 5.881 0.000
K 2.116 9.508 6.572
Ge 2.116 6.512 5.062
Ge 0.000 5.949 11.634
Ge 0.000 5.949 1.510
Pt 2.116 0.093 8.736
Ge 2.116 6.512 8.082
K 2.116 9.117 10.927
Pt 0.000 6.865 3.874
Pt 2.116 5.596 10.446
Ge 2.116 1.429 6.572
K 0.000 3.344 8.789
Ge 0.000 11.195 4.394
K 0.000 2.953 0.000
Ge 0.000 11.032 0.000
```

Computed properties:
Raw total energy (Ry/atom): -0.358
N(E_F) (states/eV per atom): 0.458
Formation enthalpy at 0 K (meV/atom): -396

A plane-wave DFT calculation with GGA-PBE was carried out for a relaxed K3GePt crystal.

Cell and atoms, written as extended XYZ:
```
5
Lattice="6.147 0.000 0.000 0.000 6.147 0.000 0.000 0.000 6.147" Properties=species:S:1:pos:R:3 pbc="T T T"
K 0.000 0.000 3.073
K 0.000 3.073 0.000
K 3.073 0.000 0.000
Pt 0.000 0.000 0.000
Ge 3.073 3.073 3.073
```

Computed properties:
Raw total energy (Ry/atom): -0.178
N(E_F) (states/eV per atom): 0.000
Energy above the lowest structure with this stoichiometry (meV per atom): 526
Formation enthalpy at 0 K (meV/atom): 365

A plane-wave DFT calculation with GGA-PBE was carried out for a relaxed KGe2Pt5 crystal.

Cell and atoms, written as extended XYZ:
```
8
Lattice="3.993 0.000 0.000 1.997 6.179 0.375 1.997 1.504 6.005" Properties=species:S:1:pos:R:3 pbc="T T T"
Pt 3.993 3.583 1.148
Pt 1.997 3.842 3.190
Pt 3.993 4.100 5.233
K 0.000 0.000 0.000
Ge 1.997 1.929 1.602
Ge 5.990 5.755 4.779
Pt 3.993 1.787 3.311
Pt 3.993 5.897 3.069
```

Computed properties:
Raw total energy (Ry/atom): -0.401
N(E_F) (states/eV per atom): 0.464
Formation enthalpy at 0 K (meV/atom): -393

A plane-wave DFT calculation with GGA-PBE was carried out for a relaxed K3GePt crystal.

Cell and atoms, written as extended XYZ:
```
20
Lattice="-2.662 3.467 -1.919 4.841 -2.384 -11.020 -8.961 -8.092 -2.187" Properties=species:S:1:pos:R:3 pbc="T T T"
Pt -6.213 -6.955 -3.945
Pt 2.093 -3.520 -9.261
K -3.486 -5.828 -5.691
K -1.433 -7.836 -12.167
K -2.687 -2.639 -1.040
Ge -1.275 -3.241 -4.086
Pt -4.211 -5.590 -10.192
Ge -7.661 -5.271 -4.830
K -5.372 -9.465 -9.646
K -0.399 -1.015 -7.217
K -1.574 -4.005 -10.986
Ge 0.880 -1.739 -10.296
K 1.252 -1.010 -3.561
Pt -2.571 -1.419 -4.934
Ge -2.845 -7.235 -9.121
K -6.383 -5.994 -7.909
K -0.634 -4.648 -7.516
K -5.025 -7.660 -12.802
K -5.207 -3.004 -4.140
K -1.757 0.651 -2.324
```

Computed properties:
Raw total energy (Ry/atom): -0.217
N(E_F) (states/eV per atom): 0.508
Energy above the lowest structure with this stoichiometry (meV per atom): 0
Formation enthalpy at 0 K (meV/atom): -161

A plane-wave DFT calculation with GGA-PBE was carried out for a relaxed K3Ge4Pt2 crystal.

Cell and atoms, written as extended XYZ:
```
9
Lattice="4.190 0.000 0.000 -2.095 6.408 -0.311 0.000 -3.266 8.739" Properties=species:S:1:pos:R:3 pbc="T T T"
K 0.000 0.000 0.000
Ge 0.000 -0.983 5.459
Pt 2.095 -0.416 6.694
Ge 2.095 2.496 0.493
K 0.000 2.679 5.299
Ge 0.000 0.647 7.935
Pt 0.000 3.558 1.734
K 2.095 0.464 3.130
Ge 2.095 4.125 2.969
```

Computed properties:
Raw total energy (Ry/atom): -0.301
N(E_F) (states/eV per atom): 0.354
Formation enthalpy at 0 K (meV/atom): -330